AcV2O8 | PBE+U | optimized geometry

**Space-group type**: I4/mmm (139)
**Total magnetic moment**: 1.437 μB per formula unit
**Raw total energy**: -73.3 eV/cell

a = 4.7028 Å, b = 4.7028 Å, c = 6.9961 Å
α = 109.64°, β = 109.64°, γ = 90.00°
Closest atoms and distances in Å follow each position.
Sites, in units of the cell vectors:
O  0.5977  0.0918  0.6894  2 V 2.03
V  0.7500  0.2500  0.5000  8 O 2.03
O  0.0918  0.0917  0.6894  2 V 2.03
O  0.5976  0.5977  0.6894  2 V 2.03
O  0.9082  0.4023  0.3106  2 V 2.03
O  0.0917  0.5976  0.6894  2 V 2.03
O  0.4023  0.4024  0.3106  2 V 2.03
Ac  0.5000  0.5000  0.0000  8 O 2.55
O  0.9083  0.9082  0.3106  2 V 2.03
V  0.2500  0.7500  0.5000  8 O 2.03
O  0.4024  0.9083  0.3106  2 V 2.03